# Tb2MgSi3Pd4 | the Alexandria database | PBE-GGA | optimized geometry
data_Tb2MgSi3Pd4
_chemical_formula_sum 'Tb2 Mg1 Si3 Pd4'
_symmetry_space_group_name_H-M 'P 1'
_symmetry_Int_Tables_number 1
_cell_length_a 4.195
_cell_length_b 4.195
_cell_length_c 10.255
_cell_angle_alpha 90.00
_cell_angle_beta 90.00
_cell_angle_gamma 90.00
loop_
_symmetry_equiv_pos_as_xyz
'x,y,z'
loop_
_atom_site_label
_atom_site_type_symbol
_atom_site_fract_x
_atom_site_fract_y
_atom_site_fract_z
Tb1 Tb 0.000 0.500 0.241
Tb2 Tb 0.500 0.000 0.759
Mg1 Mg 0.000 0.000 0.500
Si1 Si 0.000 0.500 0.871
Si2 Si 0.500 0.000 0.129
Si3 Si 0.500 0.500 0.500
Pd1 Pd 0.000 0.000 0.000
Pd2 Pd 0.000 0.500 0.641
Pd3 Pd 0.500 0.000 0.359
Pd4 Pd 0.500 0.500 0.000
# **Calculated volume**: 18.05 A^3/atom
# **Crystal system**: tetragonal
# **SG**: P-4m2 (115)
# **Total moment**: 0.00 μB/f.u.
# **Uncorrected formation energy**: -0.86 eV per atom



# TbMgSi2Pd2 | the Alexandria database | PBE-GGA | optimized geometry
data_TbMgSi2Pd2
_chemical_formula_sum 'Tb1 Mg1 Si2 Pd2'
_symmetry_space_group_name_H-M 'P 1'
_symmetry_Int_Tables_number 1
_cell_length_a 4.252
_cell_length_b 4.252
_cell_length_c 6.798
_cell_angle_alpha 90.00
_cell_angle_beta 90.00
_cell_angle_gamma 120.00
loop_
_symmetry_equiv_pos_as_xyz
'x,y,z'
loop_
_atom_site_label
_atom_site_type_symbol
_atom_site_fract_x
_atom_site_fract_y
_atom_site_fract_z
Tb1 Tb 0.000 0.000 0.000
Mg1 Mg 0.000 0.000 0.500
Si1 Si 0.333 0.667 0.274
Si2 Si 0.667 0.333 0.726
Pd1 Pd 0.333 0.667 0.683
Pd2 Pd 0.667 0.333 0.317
# **Calculated volume**: 17.74 A^3/atom
# **Crystal system**: trigonal
# **SG**: P-3m1 (164)
# **Total moment**: 0.00 μB/f.u.
# **Uncorrected formation energy**: -0.78 eV per atom



# Th2MgSi3Pd4 | the Alexandria database | PBE-GGA | optimized geometry
data_Th2MgSi3Pd4
_chemical_formula_sum 'Th2 Mg1 Si3 Pd4'
_symmetry_space_group_name_H-M 'P 1'
_symmetry_Int_Tables_number 1
_cell_length_a 4.271
_cell_length_b 4.271
_cell_length_c 10.235
_cell_angle_alpha 90.00
_cell_angle_beta 90.00
_cell_angle_gamma 90.00
loop_
_symmetry_equiv_pos_as_xyz
'x,y,z'
loop_
_atom_site_label
_atom_site_type_symbol
_atom_site_fract_x
_atom_site_fract_y
_atom_site_fract_z
Th1 Th 0.000 0.500 0.239
Th2 Th 0.500 0.000 0.761
Mg1 Mg 0.000 0.000 0.500
Si1 Si 0.000 0.500 0.871
Si2 Si 0.500 0.000 0.129
Si3 Si 0.500 0.500 0.500
Pd1 Pd 0.000 0.000 0.000
Pd2 Pd 0.000 0.500 0.636
Pd3 Pd 0.500 0.000 0.364
Pd4 Pd 0.500 0.500 0.000
# **Calculated volume**: 18.67 A^3/atom
# **Crystal system**: tetragonal
# **SG**: P-4m2 (115)
# **Total moment**: 0.00 μB/f.u.
# **Uncorrected formation energy**: -0.85 eV per atom



# ThMgSi2Pd2 | the Alexandria database | PBE-GGA | optimized geometry
data_ThMgSi2Pd2
_chemical_formula_sum 'Th1 Mg1 Si2 Pd2'
_symmetry_space_group_name_H-M 'P 1'
_symmetry_Int_Tables_number 1
_cell_length_a 4.269
_cell_length_b 4.269
_cell_length_c 6.990
_cell_angle_alpha 90.00
_cell_angle_beta 90.00
_cell_angle_gamma 120.00
loop_
_symmetry_equiv_pos_as_xyz
'x,y,z'
loop_
_atom_site_label
_atom_site_type_symbol
_atom_site_fract_x
_atom_site_fract_y
_atom_site_fract_z
Th1 Th 0.000 0.000 0.000
Mg1 Mg 0.000 0.000 0.500
Si1 Si 0.333 0.667 0.274
Si2 Si 0.667 0.333 0.726
Pd1 Pd 0.333 0.667 0.676
Pd2 Pd 0.667 0.333 0.324
# **Calculated volume**: 18.38 A^3/atom
# **Crystal system**: trigonal
# **SG**: P-3m1 (164)
# **Total moment**: 0.00 μB/f.u.
# **Uncorrected formation energy**: -0.78 eV per atom



# Tm2MgSi2Pd5 | the Alexandria database | PBE-GGA | optimized geometry
data_Tm2MgSi2Pd5
_chemical_formula_sum 'Tm4 Mg2 Si4 Pd10'
_symmetry_space_group_name_H-M 'P 1'
_symmetry_Int_Tables_number 1
_cell_length_a 9.889
_cell_length_b 9.889
_cell_length_c 3.601
_cell_angle_alpha 90.00
_cell_angle_beta 90.00
_cell_angle_gamma 90.00
loop_
_symmetry_equiv_pos_as_xyz
'x,y,z'
loop_
_atom_site_label
_atom_site_type_symbol
_atom_site_fract_x
_atom_site_fract_y
_atom_site_fract_z
Tm1 Tm 0.173 0.327 0.000
Tm2 Tm 0.327 0.827 0.000
Tm3 Tm 0.673 0.173 0.000
Tm4 Tm 0.827 0.673 0.000
Mg1 Mg 0.000 0.000 0.000
Mg2 Mg 0.500 0.500 0.000
Si1 Si 0.127 0.627 0.000
Si2 Si 0.373 0.127 0.000
Si3 Si 0.627 0.873 0.000
Si4 Si 0.873 0.373 0.000
Pd1 Pd 0.000 0.500 0.500
Pd2 Pd 0.062 0.786 0.500
Pd3 Pd 0.214 0.062 0.500
Pd4 Pd 0.286 0.562 0.500
Pd5 Pd 0.438 0.286 0.500
Pd6 Pd 0.500 0.000 0.500
Pd7 Pd 0.562 0.714 0.500
Pd8 Pd 0.714 0.438 0.500
Pd9 Pd 0.786 0.938 0.500
Pd10 Pd 0.938 0.214 0.500
# **Calculated volume**: 17.61 A^3/atom
# **Crystal system**: tetragonal
# **SG**: P4/mbm (127)
# **Total moment**: 0.00 μB/f.u.
# **Uncorrected formation energy**: -0.78 eV per atom



# TmMgSiPd | the Alexandria database | PBE-GGA | optimized geometry
data_TmMgSiPd
_chemical_formula_sum 'Tm1 Mg1 Si1 Pd1'
_symmetry_space_group_name_H-M 'P 1'
_symmetry_Int_Tables_number 1
_cell_length_a 4.729
_cell_length_b 4.729
_cell_length_c 4.729
_cell_angle_alpha 60.00
_cell_angle_beta 60.00
_cell_angle_gamma 60.00
loop_
_symmetry_equiv_pos_as_xyz
'x,y,z'
loop_
_atom_site_label
_atom_site_type_symbol
_atom_site_fract_x
_atom_site_fract_y
_atom_site_fract_z
Tm1 Tm 0.000 0.000 0.000
Mg1 Mg 0.500 0.500 0.500
Si1 Si 0.250 0.250 0.250
Pd1 Pd 0.750 0.750 0.750
# **Calculated volume**: 18.69 A^3/atom
# **Crystal system**: cubic
# **SG**: F-43m (216)
# **Total moment**: 0.00 μB/f.u.
# **Uncorrected formation energy**: -0.59 eV per atom